# Ac2La2Nd3, relaxed, DFT PBE
# VASP energy = -64.4 eV/cell
# Formation energy from the elements = 0.03 eV/atom
# Calculated density = 7.181 g/cm3
data_Ac2La2Nd3
_symmetry_space_group_name_H-M 'P 1'
_symmetry_Int_Tables_number 1
_cell_length_a 6.544
_cell_length_b 6.562
_cell_length_c 13.161
_cell_angle_alpha 99.88
_cell_angle_beta 99.36
_cell_angle_gamma 99.40
loop_
_symmetry_equiv_pos_as_xyz
'x,y,z'
loop_
_atom_site_label
_atom_site_type_symbol
_atom_site_fract_x
_atom_site_fract_y
_atom_site_fract_z
_atom_site_occupancy
Ac1 Ac 0.073 0.149 0.143 1
Ac2 Ac 0.075 0.149 0.644 1
Ac3 Ac 0.925 0.851 0.356 1
Ac4 Ac 0.927 0.851 0.857 1
La1 La 0.222 0.434 0.430 1
La2 La 0.360 0.715 0.211 1
La3 La 0.640 0.285 0.789 1
La4 La 0.778 0.566 0.570 1
Nd1 Nd 0.221 0.433 0.931 1
Nd2 Nd 0.360 0.714 0.714 1
Nd3 Nd 0.500 0.000 0.000 1
Nd4 Nd 0.500 0.000 0.500 1
Nd5 Nd 0.640 0.286 0.286 1
Nd6 Nd 0.779 0.567 0.069 1

# Ac6La8Nd, relaxed, DFT PBE
# VASP energy = -67.5 eV/cell
# Formation energy from the elements = 0.09 eV/atom
# Calculated density = 7.225 g/cm3
data_Ac6La8Nd
_symmetry_space_group_name_H-M 'P 1'
_symmetry_Int_Tables_number 1
_cell_length_a 9.283
_cell_length_b 9.283
_cell_length_c 9.283
_cell_angle_alpha 62.86
_cell_angle_beta 62.86
_cell_angle_gamma 62.86
loop_
_symmetry_equiv_pos_as_xyz
'x,y,z'
loop_
_atom_site_label
_atom_site_type_symbol
_atom_site_fract_x
_atom_site_fract_y
_atom_site_fract_z
_atom_site_occupancy
Ac1 Ac 0.042 0.590 0.745 1
Ac2 Ac 0.255 0.958 0.410 1
Ac3 Ac 0.410 0.255 0.958 1
Ac4 Ac 0.590 0.745 0.042 1
Ac5 Ac 0.745 0.042 0.590 1
Ac6 Ac 0.958 0.410 0.255 1
La1 La 0.073 0.073 0.073 1
La2 La 0.205 0.612 0.262 1
La3 La 0.262 0.205 0.612 1
La4 La 0.388 0.738 0.795 1
La5 La 0.612 0.262 0.205 1
La6 La 0.738 0.795 0.388 1
La7 La 0.795 0.388 0.738 1
La8 La 0.927 0.927 0.927 1
Nd1 Nd 0.500 0.500 0.500 1

# Ac7La2Nd2, relaxed, DFT PBE
# VASP energy = -47.0 eV/cell
# Formation energy from the elements = 0.10 eV/atom
# Calculated density = 7.670 g/cm3
data_Ac7La2Nd2
_symmetry_space_group_name_H-M 'P 1'
_symmetry_Int_Tables_number 1
_cell_length_a 10.140
_cell_length_b 10.140
_cell_length_c 10.140
_cell_angle_alpha 145.25
_cell_angle_beta 64.63
_cell_angle_gamma 127.35
loop_
_symmetry_equiv_pos_as_xyz
'x,y,z'
loop_
_atom_site_label
_atom_site_type_symbol
_atom_site_fract_x
_atom_site_fract_y
_atom_site_fract_z
_atom_site_occupancy
Ac1 Ac 0.000 0.000 0.000 1
Ac2 Ac 0.164 0.323 0.841 1
Ac3 Ac 0.176 0.536 0.640 1
Ac4 Ac 0.481 0.323 0.159 1
Ac5 Ac 0.492 0.122 0.369 1
Ac6 Ac 0.753 0.122 0.631 1
Ac7 Ac 0.897 0.536 0.360 1
La1 La 0.030 0.830 0.200 1
La2 La 0.630 0.830 0.800 1
Nd1 Nd 0.321 0.821 0.500 1
Nd2 Nd 0.594 0.594 0.000 1

# AcLa3Nd3, relaxed, DFT PBE
# VASP energy = -65.9 eV/cell
# Formation energy from the elements = 0.04 eV/atom
# Calculated density = 6.742 g/cm3
data_AcLa3Nd3
_symmetry_space_group_name_H-M 'P 1'
_symmetry_Int_Tables_number 1
_cell_length_a 10.042
_cell_length_b 10.042
_cell_length_c 6.071
_cell_angle_alpha 90.00
_cell_angle_beta 90.00
_cell_angle_gamma 120.00
loop_
_symmetry_equiv_pos_as_xyz
'x,y,z'
loop_
_atom_site_label
_atom_site_type_symbol
_atom_site_fract_x
_atom_site_fract_y
_atom_site_fract_z
_atom_site_occupancy
Ac1 Ac 0.333 0.667 0.250 1
Ac2 Ac 0.667 0.333 0.750 1
La1 La 0.094 0.625 0.750 1
La2 La 0.375 0.468 0.750 1
La3 La 0.468 0.094 0.250 1
La4 La 0.532 0.906 0.750 1
La5 La 0.625 0.532 0.250 1
La6 La 0.906 0.375 0.250 1
Nd1 Nd 0.045 0.812 0.250 1
Nd2 Nd 0.188 0.232 0.250 1
Nd3 Nd 0.232 0.045 0.750 1
Nd4 Nd 0.768 0.955 0.250 1
Nd5 Nd 0.812 0.768 0.750 1
Nd6 Nd 0.955 0.188 0.750 1

# Ac4LaNd, relaxed, DFT PBE
# VASP energy = -24.3 eV/cell
# Formation energy from the elements = 0.30 eV/atom
# Calculated density = 7.474 g/cm3
data_Ac4LaNd
_symmetry_space_group_name_H-M 'P 1'
_symmetry_Int_Tables_number 1
_cell_length_a 7.206
_cell_length_b 7.206
_cell_length_c 7.206
_cell_angle_alpha 60.00
_cell_angle_beta 60.00
_cell_angle_gamma 60.00
loop_
_symmetry_equiv_pos_as_xyz
'x,y,z'
loop_
_atom_site_label
_atom_site_type_symbol
_atom_site_fract_x
_atom_site_fract_y
_atom_site_fract_z
_atom_site_occupancy
Ac1 Ac 0.125 0.125 0.125 1
Ac2 Ac 0.125 0.125 0.624 1
Ac3 Ac 0.125 0.624 0.125 1
Ac4 Ac 0.624 0.125 0.125 1
La1 La 0.750 0.750 0.750 1
Nd1 Nd 0.500 0.500 0.500 1

# Ac7LaNd4, relaxed, DFT PBE
# VASP energy = -52.4 eV/cell
# Formation energy from the elements = 0.03 eV/atom
# Calculated density = 7.749 g/cm3
data_Ac7LaNd4
_symmetry_space_group_name_H-M 'P 1'
_symmetry_Int_Tables_number 1
_cell_length_a 6.770
_cell_length_b 7.758
_cell_length_c 9.664
_cell_angle_alpha 90.29
_cell_angle_beta 103.32
_cell_angle_gamma 90.01
loop_
_symmetry_equiv_pos_as_xyz
'x,y,z'
loop_
_atom_site_label
_atom_site_type_symbol
_atom_site_fract_x
_atom_site_fract_y
_atom_site_fract_z
_atom_site_occupancy
Ac1 Ac 0.000 0.000 0.000 1
Ac2 Ac 0.220 0.499 0.668 1
Ac3 Ac 0.283 0.756 0.337 1
Ac4 Ac 0.498 0.249 0.004 1
Ac5 Ac 0.502 0.751 0.996 1
Ac6 Ac 0.717 0.244 0.663 1
Ac7 Ac 0.780 0.501 0.332 1
La1 La 0.000 0.500 0.000 1
Nd1 Nd 0.216 0.000 0.666 1
Nd2 Nd 0.274 0.249 0.332 1
Nd3 Nd 0.726 0.751 0.668 1
Nd4 Nd 0.784 0.000 0.334 1

# Ac2LaNd, relaxed, DFT PBE
# VASP energy = -17.4 eV/cell
# Formation energy from the elements = 0.13 eV/atom
# Calculated density = 7.504 g/cm3
data_Ac2LaNd
_symmetry_space_group_name_H-M 'P 1'
_symmetry_Int_Tables_number 1
_cell_length_a 6.133
_cell_length_b 6.133
_cell_length_c 6.133
_cell_angle_alpha 60.00
_cell_angle_beta 60.00
_cell_angle_gamma 60.00
loop_
_symmetry_equiv_pos_as_xyz
'x,y,z'
loop_
_atom_site_label
_atom_site_type_symbol
_atom_site_fract_x
_atom_site_fract_y
_atom_site_fract_z
_atom_site_occupancy
Ac1 Ac 0.250 0.250 0.250 1
Ac2 Ac 0.750 0.750 0.750 1
La1 La 0.000 0.000 0.000 1
Nd1 Nd 0.500 0.500 0.500 1

# Ac3La2Nd3, relaxed, DFT PBE
# VASP energy = -36.3 eV/cell
# Formation energy from the elements = 0.03 eV/atom
# Calculated density = 7.371 g/cm3
data_Ac3La2Nd3
_symmetry_space_group_name_H-M 'P 1'
_symmetry_Int_Tables_number 1
_cell_length_a 11.469
_cell_length_b 11.469
_cell_length_c 11.469
_cell_angle_alpha 153.09
_cell_angle_beta 152.61
_cell_angle_gamma 38.77
loop_
_symmetry_equiv_pos_as_xyz
'x,y,z'
loop_
_atom_site_label
_atom_site_type_symbol
_atom_site_fract_x
_atom_site_fract_y
_atom_site_fract_z
_atom_site_occupancy
Ac1 Ac 0.000 0.000 0.000 1
Ac2 Ac 0.374 0.874 0.500 1
Ac3 Ac 0.626 0.126 0.500 1
La1 La 0.249 0.249 0.000 1
La2 La 0.751 0.751 0.000 1
Nd1 Nd 0.127 0.627 0.500 1
Nd2 Nd 0.500 0.500 0.000 1
Nd3 Nd 0.873 0.373 0.500 1

# Ac2LaNd9, relaxed, DFT PBE
# VASP energy = -54.7 eV/cell
# Formation energy from the elements = 0.11 eV/atom
# Calculated density = 7.092 g/cm3
data_Ac2LaNd9
_symmetry_space_group_name_H-M 'P 1'
_symmetry_Int_Tables_number 1
_cell_length_a 6.203
_cell_length_b 6.203
_cell_length_c 11.508
_cell_angle_alpha 90.00
_cell_angle_beta 90.00
_cell_angle_gamma 90.00
loop_
_symmetry_equiv_pos_as_xyz
'x,y,z'
loop_
_atom_site_label
_atom_site_type_symbol
_atom_site_fract_x
_atom_site_fract_y
_atom_site_fract_z
_atom_site_occupancy
Ac1 Ac 0.000 0.000 0.170 1
Ac2 Ac 0.000 0.000 0.830 1
La1 La 0.000 0.000 0.500 1
Nd1 Nd 0.000 0.500 0.000 1
Nd2 Nd 0.000 0.500 0.339 1
Nd3 Nd 0.000 0.500 0.661 1
Nd4 Nd 0.500 0.000 0.000 1
Nd5 Nd 0.500 0.000 0.339 1
Nd6 Nd 0.500 0.000 0.661 1
Nd7 Nd 0.500 0.500 0.166 1
Nd8 Nd 0.500 0.500 0.500 1
Nd9 Nd 0.500 0.500 0.834 1

# AcLa14Nd, relaxed, DFT PBE
# VASP energy = -77.4 eV/cell
# Formation energy from the elements = 0.03 eV/atom
# Calculated density = 6.415 g/cm3
data_AcLa14Nd
_symmetry_space_group_name_H-M 'P 1'
_symmetry_Int_Tables_number 1
_cell_length_a 12.182
_cell_length_b 7.539
_cell_length_c 7.539
_cell_angle_alpha 59.97
_cell_angle_beta 90.00
_cell_angle_gamma 90.00
loop_
_symmetry_equiv_pos_as_xyz
'x,y,z'
loop_
_atom_site_label
_atom_site_type_symbol
_atom_site_fract_x
_atom_site_fract_y
_atom_site_fract_z
_atom_site_occupancy
Ac1 Ac 0.000 0.000 0.000 1
La1 La 0.000 0.502 0.999 1
La2 La 0.000 0.999 0.502 1
La3 La 0.248 0.333 0.333 1
La4 La 0.252 0.337 0.832 1
La5 La 0.252 0.832 0.337 1
La6 La 0.253 0.832 0.832 1
La7 La 0.500 0.000 0.000 1
La8 La 0.500 0.003 0.498 1
La9 La 0.500 0.498 0.003 1
La10 La 0.500 0.498 0.498 1
La11 La 0.747 0.832 0.832 1
La12 La 0.748 0.337 0.832 1
La13 La 0.748 0.832 0.337 1
La14 La 0.752 0.333 0.333 1
Nd1 Nd 0.000 0.501 0.501 1